1.
Density functional theory data (PBE-GGA) for a relaxed structure of TiMn2GaH.

Values from the calculation:
Total energy = -0.4974 Ry/atom
Space group = No. 123
Mass density = 6.83 Mg/m³

Geometry as CIF:
```
data_TiMn2GaH
_chemical_formula_sum 'Ti1 Mn2 Ga1 H1'
_space_group_name_H-M_alt 'P 1'
_space_group_IT_number 1
_space_group_name_Hall 'P 1'
_cell_length_a 3.860
_cell_length_b 3.860
_cell_length_c 3.727
_cell_angle_alpha 90.00
_cell_angle_beta 90.00
_cell_angle_gamma 90.00
loop_
_atom_site_label
_atom_site_fract_x
_atom_site_fract_y
_atom_site_fract_z
H1 0.000 0.000 0.000
Mn1 0.000 0.500 0.000
Mn2 0.500 0.000 0.000
Ga1 0.500 0.500 0.500
Ti1 0.000 0.000 0.500
```


2.
Density functional theory data (PBE-GGA) for a relaxed structure of Mn2VGaH.

Values from the calculation:
Total energy = -0.5084 Ry/atom
Space group = No. 123
Mass density = 7.24 Mg/m³

Geometry as CIF:
```
data_Mn2VGaH
_chemical_formula_sum 'Mn2 V1 Ga1 H1'
_space_group_name_H-M_alt 'P 1'
_space_group_IT_number 1
_space_group_name_Hall 'P 1'
_cell_length_a 3.783
_cell_length_b 3.783
_cell_length_c 3.712
_cell_angle_alpha 90.00
_cell_angle_beta 90.00
_cell_angle_gamma 90.00
loop_
_atom_site_label
_atom_site_fract_x
_atom_site_fract_y
_atom_site_fract_z
H1 0.000 0.000 0.000
Mn1 0.000 0.500 0.000
Mn2 0.500 0.000 0.000
Ga1 0.500 0.500 0.500
V1 0.000 0.000 0.500
```


3.
Density functional theory data (PBE-GGA) for a relaxed structure of MnV2GaH.

Values from the calculation:
Total energy = -0.5097 Ry/atom
Space group = No. 123
Mass density = 6.93 Mg/m³

Geometry as CIF:
```
data_MnV2GaH
_chemical_formula_sum 'Mn1 V2 Ga1 H1'
_space_group_name_H-M_alt 'P 1'
_space_group_IT_number 1
_space_group_name_Hall 'P 1'
_cell_length_a 3.816
_cell_length_b 3.816
_cell_length_c 3.745
_cell_angle_alpha 90.00
_cell_angle_beta 90.00
_cell_angle_gamma 90.00
loop_
_atom_site_label
_atom_site_fract_x
_atom_site_fract_y
_atom_site_fract_z
H1 0.000 0.000 0.000
Mn1 0.000 0.000 0.500
Ga1 0.500 0.500 0.500
V1 0.000 0.500 0.000
V2 0.500 0.000 0.000
```


4.
Density functional theory data (PBE-GGA) for a relaxed structure of Y2MnGaH.

Values from the calculation:
Total energy = -0.4394 Ry/atom
Space group = No. 123
Mass density = 5.61 Mg/m³

Geometry as CIF:
```
data_Y2MnGaH
_chemical_formula_sum 'Y2 Mn1 Ga1 H1'
_space_group_name_H-M_alt 'P 1'
_space_group_IT_number 1
_space_group_name_Hall 'P 1'
_cell_length_a 4.885
_cell_length_b 4.885
_cell_length_c 3.765
_cell_angle_alpha 90.00
_cell_angle_beta 90.00
_cell_angle_gamma 90.00
loop_
_atom_site_label
_atom_site_fract_x
_atom_site_fract_y
_atom_site_fract_z
Y1 0.000 0.500 0.000
Y2 0.500 0.000 0.000
H1 0.000 0.000 0.000
Mn1 0.000 0.000 0.500
Ga1 0.500 0.500 0.500
```


5.
Density functional theory data (PBE-GGA) for a relaxed structure of Mn2ZnGaH.

Values from the calculation:
Total energy = -0.3830 Ry/atom
Space group = No. 123
Mass density = 7.36 Mg/m³
Excess energy over the best structure of this formula in the dataset = 0 meV per atom

Geometry as CIF:
```
data_Mn2ZnGaH
_chemical_formula_sum 'Mn2 Zn1 Ga1 H1'
_space_group_name_H-M_alt 'P 1'
_space_group_IT_number 1
_space_group_name_Hall 'P 1'
_cell_length_a 3.783
_cell_length_b 3.783
_cell_length_c 3.876
_cell_angle_alpha 90.00
_cell_angle_beta 90.00
_cell_angle_gamma 90.00
loop_
_atom_site_label
_atom_site_fract_x
_atom_site_fract_y
_atom_site_fract_z
H1 0.000 0.000 0.000
Zn1 0.000 0.000 0.500
Mn1 0.000 0.500 0.000
Mn2 0.500 0.000 0.000
Ga1 0.500 0.500 0.500
```


6.
Density functional theory data (PBE-GGA) for a relaxed structure of ZrMn2GaH.

Values from the calculation:
Total energy = -0.4994 Ry/atom
Space group = No. 123
Mass density = 7.12 Mg/m³

Geometry as CIF:
```
data_ZrMn2GaH
_chemical_formula_sum 'Zr1 Mn2 Ga1 H1'
_space_group_name_H-M_alt 'P 1'
_space_group_IT_number 1
_space_group_name_Hall 'P 1'
_cell_length_a 3.951
_cell_length_b 3.951
_cell_length_c 4.058
_cell_angle_alpha 90.00
_cell_angle_beta 90.00
_cell_angle_gamma 90.00
loop_
_atom_site_label
_atom_site_fract_x
_atom_site_fract_y
_atom_site_fract_z
H1 0.000 0.000 0.000
Mn1 0.000 0.500 0.000
Mn2 0.500 0.000 0.000
Ga1 0.500 0.500 0.500
Zr1 0.000 0.000 0.500
```


7.
Density functional theory data (PBE-GGA) for a relaxed structure of GaMoH2.

Values from the calculation:
Total energy = -0.3236 Ry/atom
Space group = No. 225
Mass density = 7.51 Mg/m³
Excess energy over the best structure of this formula in the dataset = 704 meV per atom

Geometry as CIF:
```
data_GaMoH2
_chemical_formula_sum 'Ga1 Mo1 H2'
_space_group_name_H-M_alt 'P 1'
_space_group_IT_number 1
_space_group_name_Hall 'P 1'
_cell_length_a 3.743
_cell_length_b 3.743
_cell_length_c 3.743
_cell_angle_alpha 60.00
_cell_angle_beta 60.00
_cell_angle_gamma 60.00
loop_
_atom_site_label
_atom_site_fract_x
_atom_site_fract_y
_atom_site_fract_z
H1 0.250 0.250 0.250
H2 0.750 0.750 0.750
Mo1 0.500 0.500 0.500
Ga1 0.000 0.000 0.000
```


8.
Density functional theory data (PBE-GGA) for a relaxed structure of GaMoH.

Values from the calculation:
Total energy = -0.4234 Ry/atom
Space group = No. 44
Mass density = 8.11 Mg/m³
Excess energy over the best structure of this formula in the dataset = 19 meV per atom

Geometry as CIF:
```
data_GaMoH
_chemical_formula_sum 'Ga4 Mo4 H4'
_space_group_name_H-M_alt 'P 1'
_space_group_IT_number 1
_space_group_name_Hall 'P 1'
_cell_length_a 3.149
_cell_length_b 8.372
_cell_length_c 5.181
_cell_angle_alpha 90.00
_cell_angle_beta 90.00
_cell_angle_gamma 90.00
loop_
_atom_site_label
_atom_site_fract_x
_atom_site_fract_y
_atom_site_fract_z
Ga1 0.000 0.000 0.062
Ga2 0.500 0.500 0.562
Ga3 0.000 0.000 0.554
Ga4 0.500 0.500 0.054
Mo1 0.000 0.713 0.318
Mo2 0.000 0.287 0.318
Mo3 0.500 0.213 0.818
Mo4 0.500 0.787 0.818
H1 0.000 0.312 0.688
H2 0.000 0.688 0.688
H3 0.500 0.812 0.188
H4 0.500 0.188 0.188
```


9.
Density functional theory data (PBE-GGA) for a relaxed structure of Ga2Mo2H.

Values from the calculation:
Total energy = -0.4465 Ry/atom
Space group = No. 127
Mass density = 7.97 Mg/m³

Geometry as CIF:
```
data_Ga2Mo2H
_chemical_formula_sum 'Ga4 Mo4 H2'
_space_group_name_H-M_alt 'P 1'
_space_group_IT_number 1
_space_group_name_Hall 'P 1'
_cell_length_a 5.602
_cell_length_b 5.602
_cell_length_c 4.412
_cell_angle_alpha 90.00
_cell_angle_beta 90.00
_cell_angle_gamma 90.00
loop_
_atom_site_label
_atom_site_fract_x
_atom_site_fract_y
_atom_site_fract_z
H1 0.000 0.000 0.000
H2 0.500 0.500 0.000
Mo1 0.337 0.837 0.000
Mo2 0.837 0.663 0.000
Mo3 0.663 0.163 0.000
Mo4 0.163 0.337 0.000
Ga1 0.161 0.661 0.500
Ga2 0.661 0.839 0.500
Ga3 0.839 0.339 0.500
Ga4 0.339 0.161 0.500
```


10.
Density functional theory data (PBE-GGA) for a relaxed structure of GaMoH2.

Values from the calculation:
Total energy = -0.3720 Ry/atom
Space group = No. 1
Mass density = 7.16 Mg/m³
Excess energy over the best structure of this formula in the dataset = 46 meV per atom

Geometry as CIF:
```
data_GaMoH2
_chemical_formula_sum 'Ga2 Mo2 H4'
_space_group_name_H-M_alt 'P 1'
_space_group_IT_number 1
_space_group_name_Hall 'P 1'
_cell_length_a 3.326
_cell_length_b 5.083
_cell_length_c 5.151
_cell_angle_alpha 77.78
_cell_angle_beta 71.99
_cell_angle_gamma 71.08
loop_
_atom_site_label
_atom_site_fract_x
_atom_site_fract_y
_atom_site_fract_z
Ga1 0.169 0.356 0.983
Ga2 0.017 0.061 0.463
Mo1 0.304 0.500 0.439
Mo2 0.445 0.830 0.847
H1 0.829 0.978 0.931
H2 0.698 0.551 0.603
H3 0.077 0.799 0.211
H4 0.667 0.645 0.156
```


- mass density of number 3 (MnV2GaH)?
  6.93 Mg/m³


- total energy of number 7 (GaMoH2)?
  -0.3236 Ry/atom


- Number 1 is which compound?
  TiMn2GaH


- The highest mass density belongs to which entry?
  GaMoH